VASP calculation (PBE) on a relaxed Ga2CSe crystal.

Calculated values
Distance to the lowest polymorph of the same formula (eV per atom): 0.0000
Formation energy (no corrections) (eV per atom): -0.067

a b c (Å): 5.2844 5.2844 10.0331
angles (deg): 90.00 90.00 90.00
Closest atoms and distances in Å follow each position.
Space group I-42d (No. 122)
Inequivalent atoms, fractional coordinates:
Ga (0.1598, 0.2500, 0.1250) x8  2 C 2.01
C (0.0000, 0.0000, 0.0000) x4  4 Ga 2.01
Se (0.0000, 0.0000, 0.5000) x4  4 Ga 2.56



VASP calculation (PBE) on a relaxed PaMn10V2 crystal.

Calculated values
DFT formation energy (eV/atom): -0.006

a b c (Å): 8.5279 9.6311 7.9679
angles (deg): 90.00 90.00 90.00
Closest atoms and distances in Å follow each position.
Space group Cmcm (No. 63)
Inequivalent atoms, fractional coordinates:
Pa (0.0000, 0.1134, 0.2500) x4  14 Mn 2.90-3.14, 4 V 3.20
Mn (0.0000, 0.1754, 0.6055) x8  3 Mn 2.30-2.47, 2 V 2.40
Mn (0.0000, 0.4015, 0.0764) x8  1 Mn 2.25
Mn (0.1313, 0.3930, 0.7500) x8  2 Mn 2.24-2.45
Mn (0.2274, 0.0000, 0.0000) x8  6 Mn 2.34-2.58, 2 V 2.42
Mn (0.2498, 0.1251, 0.7500) x8  2 V 2.33, 7 Mn 2.34-2.56
V (0.2500, 0.2500, 0.0000) x8  6 Mn 2.33-2.42



VASP calculation (PBE) on a relaxed TcSb crystal.

Calculated values
Distance to the lowest polymorph of the same formula (eV per atom): 0.0923
Formation energy (no corrections) (eV per atom): 0.152

a b c (Å): 9.5827 3.2536 7.8670
angles (deg): 90.00 112.84 90.00
Closest atoms and distances in Å follow each position.
Space group Cm (No. 8)
Inequivalent atoms, fractional coordinates:
Tc (0.0000, 0.0000, 0.0000) x2  7 Sb 2.67-2.90
Tc (0.0074, 0.0000, 0.6004) x2  5 Sb 2.79-2.84, 2 Tc 2.82
Tc (0.2744, 0.0000, 0.3595) x2  6 Sb 2.66-2.87, 2 Tc 2.82
Sb (0.0377, 0.5000, 0.3207) x2  7 Tc 2.66-2.90
Sb (0.2317, 0.5000, 0.0430) x2  5 Tc 2.67-2.87
Sb (0.3262, 0.0000, 0.7196) x2  6 Tc 2.68-2.83



VASP calculation (PBE) on a relaxed KAgRu2 crystal.

Calculated values
Distance to the lowest polymorph of the same formula (eV per atom): 0.1172
DFT formation energy (eV/atom): 0.659

a b c (Å): 8.2410 2.7649 7.6501
angles (deg): 90.00 93.58 90.00
Closest atoms and distances in Å follow each position.
Space group Cm (No. 8)
Inequivalent atoms, fractional coordinates:
K (0.0000, 0.0000, 0.0000) x2  2 K 2.76
Ag (0.2617, 0.5000, 0.3308) x2  2 Ag 2.76, 5 Ru 2.86-2.98
Ru (0.2375, 0.0000, 0.6731) x2  3 Ru 2.36-2.54
Ru (0.4956, 0.0000, 0.5550) x2  3 Ru 2.36-2.54